{
  "formula": "CaCoSe2O8",
  "functional": "PBE+U",
  "state": "relaxed",
  "lattice": [[-3.784, 1.486, 2.862], [-4.501, 0.696, -1.993], [-4.424, -6.126, 1.649]],
  "species": ["O", "O", "O", "Ca", "O", "Se", "Co", "Se", "O", "O", "O", "O"],
  "fractional_positions": [[0.824, 0.824, 0.527], [0.598, 0.279, 0.176], [0.053, 0.402, 0.824], [0.500, 0.500, 0.500], [0.402, 0.721, 0.824], [0.747, 0.747, 0.760], [0.000, 0.000, 0.000], [0.253, 0.253, 0.240], [0.279, 0.947, 0.176], [0.176, 0.176, 0.473], [0.721, 0.053, 0.824], [0.947, 0.598, 0.176]],
  "vol_a3_per_atom": 12.810,
  "total_energy_ev_per_cell": -67.23,
  "sg": "No. 148"
}